A plane-wave DFT calculation with PBE-GGA was carried out for RbTm2S3 after structural relaxation.

Values from the calculation:
Space group   P6_3/mcm (193)
Energy relative to the elements, uncorrected   -1735 meV per atom
Total magnetic moment   0.00 Bohr magnetons per cell

The structure in CIF format:
```
data_RbTm2S3
_symmetry_space_group_name_H-M 'P 1'
_symmetry_Int_Tables_number 1
_cell_length_a 7.2283
_cell_length_b 7.0201
_cell_length_c 7.0201
_cell_angle_alpha 119.97
_cell_angle_beta 90.00
_cell_angle_gamma 90.00
loop_
_symmetry_equiv_pos_as_xyz
'x,y,z'
loop_
_atom_site_label
_atom_site_type_symbol
_atom_site_fract_x
_atom_site_fract_y
_atom_site_fract_z
Rb1 Rb 0.2500 0.5000 0.5000
Rb2 Rb 0.7500 0.5000 0.5000
Tm1 Tm 0.5000 0.1666 0.8334
Tm2 Tm 0.5000 0.8334 0.1666
Tm3 Tm 0.0000 0.8334 0.1666
Tm4 Tm 0.0000 0.1666 0.8334
S1 S 0.7500 0.0014 0.5000
S2 S 0.2500 0.0015 0.0015
S3 S 0.2500 0.5000 0.9986
S4 S 0.7500 0.5000 0.0014
S5 S 0.7500 0.9985 0.9985
S6 S 0.2500 0.9986 0.5000
```



A plane-wave DFT calculation with PBE-GGA was carried out for Al2CdSi after structural relaxation.

Values from the calculation:
Space group   P4mm (99)
Energy relative to the elements, uncorrected   192 meV per atom
Total magnetic moment   0.00 Bohr magnetons per cell

The structure in CIF format:
```
data_Al2CdSi
_symmetry_space_group_name_H-M 'P 1'
_symmetry_Int_Tables_number 1
_cell_length_a 2.9291
_cell_length_b 2.9291
_cell_length_c 8.3605
_cell_angle_alpha 90.00
_cell_angle_beta 90.00
_cell_angle_gamma 90.00
loop_
_symmetry_equiv_pos_as_xyz
'x,y,z'
loop_
_atom_site_label
_atom_site_type_symbol
_atom_site_fract_x
_atom_site_fract_y
_atom_site_fract_z
Si1 Si 0.5000 0.5000 0.7788
Al1 Al 0.5000 0.5000 0.2275
Al2 Al 0.0000 0.0000 0.9938
Cd1 Cd 0.0000 0.0000 0.5000
```



A plane-wave DFT calculation with PBE-GGA was carried out for TbAlPd4 after structural relaxation.

Values from the calculation:
Space group   C2/m (12)
E_tot   -32.58 eV per cell
Total magnetic moment   0.00 Bohr magnetons per cell

The structure in CIF format:
```
data_TbAlPd4
_symmetry_space_group_name_H-M 'P 1'
_symmetry_Int_Tables_number 1
_cell_length_a 3.2406
_cell_length_b 4.6939
_cell_length_c 7.9018
_cell_angle_alpha 80.58
_cell_angle_beta 78.17
_cell_angle_gamma 69.81
loop_
_symmetry_equiv_pos_as_xyz
'x,y,z'
loop_
_atom_site_label
_atom_site_type_symbol
_atom_site_fract_x
_atom_site_fract_y
_atom_site_fract_z
Pd1 Pd 0.6384 0.5940 0.1292
Pd2 Pd 0.1511 0.0293 0.6686
Pd3 Pd 0.8489 0.9707 0.3314
Pd4 Pd 0.3616 0.4060 0.8708
Tb1 Tb 0.5000 0.5000 0.5000
Al1 Al 0.0000 0.0000 0.0000
```



A plane-wave DFT calculation with PBE-GGA was carried out for In4Co5 after structural relaxation.

Values from the calculation:
Space group   P6_3/mcm (193)
E_tot   -87.65 eV per cell
Total magnetic moment   11.30 Bohr magnetons per cell

The structure in CIF format:
```
data_In4Co5
_symmetry_space_group_name_H-M 'P 1'
_symmetry_Int_Tables_number 1
_cell_length_a 7.7475
_cell_length_b 7.7475
_cell_length_c 5.3443
_cell_angle_alpha 90.00
_cell_angle_beta 90.00
_cell_angle_gamma 120.00
loop_
_symmetry_equiv_pos_as_xyz
'x,y,z'
loop_
_atom_site_label
_atom_site_type_symbol
_atom_site_fract_x
_atom_site_fract_y
_atom_site_fract_z
In1 In 0.0000 0.6257 0.7500
In2 In 0.6257 0.6257 0.2500
In3 In 0.3743 0.3743 0.7500
In4 In 0.0000 0.0000 0.5000
In5 In 0.0000 0.0000 0.0000
In6 In 0.6257 0.0000 0.7500
In7 In 0.0000 0.3743 0.2500
In8 In 0.3743 0.0000 0.2500
Co1 Co 0.6667 0.3333 0.0000
Co2 Co 0.3333 0.6667 0.0000
Co3 Co 0.0000 0.7011 0.2500
Co4 Co 0.7011 0.0000 0.2500
Co5 Co 0.7011 0.7011 0.7500
Co6 Co 0.6667 0.3333 0.5000
Co7 Co 0.0000 0.2989 0.7500
Co8 Co 0.3333 0.6667 0.5000
Co9 Co 0.2989 0.2989 0.2500
Co10 Co 0.2989 0.0000 0.7500
```



A plane-wave DFT calculation with PBE-GGA was carried out for K4SiTe after structural relaxation.

Values from the calculation:
Space group   F-43m (216)
Energy relative to the elements, uncorrected   296 meV per atom
Total magnetic moment   2.15 Bohr magnetons per cell

The structure in CIF format:
```
data_K4SiTe
_symmetry_space_group_name_H-M 'P 1'
_symmetry_Int_Tables_number 1
_cell_length_a 6.9378
_cell_length_b 6.9378
_cell_length_c 6.9378
_cell_angle_alpha 60.00
_cell_angle_beta 60.00
_cell_angle_gamma 60.00
loop_
_symmetry_equiv_pos_as_xyz
'x,y,z'
loop_
_atom_site_label
_atom_site_type_symbol
_atom_site_fract_x
_atom_site_fract_y
_atom_site_fract_z
Si1 Si 0.7500 0.7500 0.7500
K1 K 0.3741 0.8777 0.3741
K2 K 0.8777 0.3741 0.3741
K3 K 0.3741 0.3741 0.8777
K4 K 0.3741 0.3741 0.3741
Te1 Te 0.0000 0.0000 0.0000
```



A plane-wave DFT calculation with PBE-GGA was carried out for SrTbHo2Se4 after structural relaxation.

Values from the calculation:
Space group   P2/m (10)
Energy relative to the elements, uncorrected   -1789 meV per atom
Total magnetic moment   0.00 Bohr magnetons per cell

The structure in CIF format:
```
data_SrTbHo2Se4
_symmetry_space_group_name_H-M 'P 1'
_symmetry_Int_Tables_number 1
_cell_length_a 4.1228
_cell_length_b 7.1946
_cell_length_c 7.1944
_cell_angle_alpha 70.94
_cell_angle_beta 90.00
_cell_angle_gamma 90.00
loop_
_symmetry_equiv_pos_as_xyz
'x,y,z'
loop_
_atom_site_label
_atom_site_type_symbol
_atom_site_fract_x
_atom_site_fract_y
_atom_site_fract_z
Se1 Se 0.5000 0.2415 0.7468
Se2 Se 0.0000 0.7641 0.7386
Se3 Se 0.5000 0.7585 0.2532
Se4 Se 0.0000 0.2359 0.2614
Ho1 Ho 0.0000 0.0000 0.0000
Ho2 Ho 0.5000 0.0000 0.5000
Sr1 Sr 0.5000 0.5000 0.0000
Tb1 Tb 0.0000 0.5000 0.5000
```



A plane-wave DFT calculation with PBE-GGA was carried out for In2BSb after structural relaxation.

Values from the calculation:
Space group   Fm-3m (225)
Energy relative to the elements, uncorrected   955 meV per atom
Total magnetic moment   0.00 Bohr magnetons per cell

The structure in CIF format:
```
data_In2BSb
_symmetry_space_group_name_H-M 'P 1'
_symmetry_Int_Tables_number 1
_cell_length_a 5.0702
_cell_length_b 5.0702
_cell_length_c 5.0702
_cell_angle_alpha 60.00
_cell_angle_beta 60.00
_cell_angle_gamma 60.00
loop_
_symmetry_equiv_pos_as_xyz
'x,y,z'
loop_
_atom_site_label
_atom_site_type_symbol
_atom_site_fract_x
_atom_site_fract_y
_atom_site_fract_z
Sb1 Sb 0.5000 0.5000 0.5000
In1 In 0.7500 0.7500 0.7500
In2 In 0.2500 0.2500 0.2500
B1 B 0.0000 0.0000 0.0000
```



A plane-wave DFT calculation with PBE-GGA was carried out for Be2NiAg after structural relaxation.

Values from the calculation:
Space group   Imm2 (44)
E_tot   -16.00 eV per cell
Total magnetic moment   0.00 Bohr magnetons per cell

The structure in CIF format:
```
data_Be2NiAg
_symmetry_space_group_name_H-M 'P 1'
_symmetry_Int_Tables_number 1
_cell_length_a 4.7470
_cell_length_b 4.7470
_cell_length_c 4.7470
_cell_angle_alpha 146.04
_cell_angle_beta 131.41
_cell_angle_gamma 60.60
loop_
_symmetry_equiv_pos_as_xyz
'x,y,z'
loop_
_atom_site_label
_atom_site_type_symbol
_atom_site_fract_x
_atom_site_fract_y
_atom_site_fract_z
Be1 Be 0.7465 0.2465 0.5000
Be2 Be 0.9854 0.9854 0.0000
Ag1 Ag 0.2457 0.7457 0.5000
Ni1 Ni 0.5224 0.5224 0.0000
```



A plane-wave DFT calculation with PBE-GGA was carried out for Na2MgZnRh after structural relaxation.

Values from the calculation:
Space group   P4/mmm (123)
E_tot   -9.61 eV per cell
Total magnetic moment   0.00 Bohr magnetons per cell

The structure in CIF format:
```
data_Na2MgZnRh
_symmetry_space_group_name_H-M 'P 1'
_symmetry_Int_Tables_number 1
_cell_length_a 5.5319
_cell_length_b 4.6999
_cell_length_c 5.5319
_cell_angle_alpha 90.00
_cell_angle_beta 90.00
_cell_angle_gamma 90.00
loop_
_symmetry_equiv_pos_as_xyz
'x,y,z'
loop_
_atom_site_label
_atom_site_type_symbol
_atom_site_fract_x
_atom_site_fract_y
_atom_site_fract_z
Rh1 Rh 0.0000 0.5000 0.0000
Mg1 Mg 0.0000 0.0000 0.0000
Na1 Na 0.5000 0.0000 0.0000
Na2 Na 0.0000 0.0000 0.5000
Zn1 Zn 0.5000 0.5000 0.5000
```



A plane-wave DFT calculation with PBE-GGA was carried out for ZnGa2Os after structural relaxation.

Values from the calculation:
Space group   I-42d (122)
E_tot   -33.77 eV per cell
Total magnetic moment   0.00 Bohr magnetons per cell

The structure in CIF format:
```
data_ZnGa2Os
_symmetry_space_group_name_H-M 'P 1'
_symmetry_Int_Tables_number 1
_cell_length_a 7.5728
_cell_length_b 7.5728
_cell_length_c 5.9407
_cell_angle_alpha 50.40
_cell_angle_beta 50.40
_cell_angle_gamma 90.00
loop_
_symmetry_equiv_pos_as_xyz
'x,y,z'
loop_
_atom_site_label
_atom_site_type_symbol
_atom_site_fract_x
_atom_site_fract_y
_atom_site_fract_z
Ga1 Ga 0.0645 0.6250 0.2500
Ga2 Ga 0.3750 0.3145 0.7500
Ga3 Ga 0.8750 0.9355 0.7500
Ga4 Ga 0.6855 0.1250 0.2500
Zn1 Zn 0.5000 0.5000 0.0000
Zn2 Zn 0.2500 0.7500 0.5000
Os1 Os 0.0000 0.0000 0.0000
Os2 Os 0.7500 0.2500 0.5000
```



A plane-wave DFT calculation with PBE-GGA was carried out for Ti2CoAg after structural relaxation.

Values from the calculation:
Space group   Fm-3m (225)
E_tot   -25.69 eV per cell
Total magnetic moment   0.08 Bohr magnetons per cell

The structure in CIF format:
```
data_Ti2CoAg
_symmetry_space_group_name_H-M 'P 1'
_symmetry_Int_Tables_number 1
_cell_length_a 4.4350
_cell_length_b 4.4350
_cell_length_c 4.4350
_cell_angle_alpha 60.00
_cell_angle_beta 60.00
_cell_angle_gamma 60.00
loop_
_symmetry_equiv_pos_as_xyz
'x,y,z'
loop_
_atom_site_label
_atom_site_type_symbol
_atom_site_fract_x
_atom_site_fract_y
_atom_site_fract_z
Ti1 Ti 0.2500 0.2500 0.2500
Ti2 Ti 0.7500 0.7500 0.7500
Ag1 Ag 0.5000 0.5000 0.5000
Co1 Co 0.0000 0.0000 0.0000
```



A plane-wave DFT calculation with PBE-GGA was carried out for LiSi2Rh after structural relaxation.

Values from the calculation:
Space group   Cm (8)
Energy relative to the elements, uncorrected   -323 meV per atom
Total magnetic moment   0.00 Bohr magnetons per cell

The structure in CIF format:
```
data_LiSi2Rh
_symmetry_space_group_name_H-M 'P 1'
_symmetry_Int_Tables_number 1
_cell_length_a 4.5386
_cell_length_b 4.5386
_cell_length_c 4.3422
_cell_angle_alpha 81.68
_cell_angle_beta 81.68
_cell_angle_gamma 36.45
loop_
_symmetry_equiv_pos_as_xyz
'x,y,z'
loop_
_atom_site_label
_atom_site_type_symbol
_atom_site_fract_x
_atom_site_fract_y
_atom_site_fract_z
Rh1 Rh 0.2602 0.2602 0.2308
Si1 Si 0.7419 0.7419 0.7500
Si2 Si 0.9967 0.9967 0.0112
Li1 Li 0.5012 0.5012 0.5080
```